one:
Density functional theory data (PBE) for TeRuPt3 after structural relaxation.

## Properties
V = 22.32 Å³/atom
Spin magnetization = 0.00 μB per formula unit

Cell and atoms, written as CIF:
```
data_TeRuPt3
_chemical_formula_sum 'Te1 Ru1 Pt3'
_space_group_name_H-M_alt 'P m -3 m'
_space_group_IT_number 221
_space_group_name_Hall '-P 4 2 3'
_cell_length_a 4.815
_cell_length_b 4.815
_cell_length_c 4.815
_cell_angle_alpha 90.00
_cell_angle_beta 90.00
_cell_angle_gamma 90.00
loop_
_atom_site_label
_atom_site_fract_x
_atom_site_fract_y
_atom_site_fract_z
Te1 0.000 0.000 0.000
Ru1 0.500 0.500 0.500
Pt1 0.000 0.500 0.500
```

two:
Density functional theory data (PBE) for TeRuPt3 after structural relaxation.

## Properties
V = 23.60 Å³/atom
Spin magnetization = 3.05 μB per formula unit

Cell and atoms, written as CIF:
```
data_TeRuPt3
_chemical_formula_sum 'Te1 Ru1 Pt3'
_space_group_name_H-M_alt 'P m -3 m'
_space_group_IT_number 221
_space_group_name_Hall '-P 4 2 3'
_cell_length_a 4.905
_cell_length_b 4.905
_cell_length_c 4.905
_cell_angle_alpha 90.00
_cell_angle_beta 90.00
_cell_angle_gamma 90.00
loop_
_atom_site_label
_atom_site_fract_x
_atom_site_fract_y
_atom_site_fract_z
Te1 0.000 0.000 0.000
Ru1 0.500 0.500 0.500
Pt1 0.000 0.000 0.500
```

one takes first place; second place is 14.2 kJ/mol of atoms up.

one:
Density functional theory data (PBE) for Te3RuPt after structural relaxation.

## Properties
V = 26.52 Å³/atom
Spin magnetization = 0.00 μB per formula unit

Cell and atoms, written as CIF:
```
data_Te3RuPt
_chemical_formula_sum 'Te3 Ru1 Pt1'
_space_group_name_H-M_alt 'P m -3 m'
_space_group_IT_number 221
_space_group_name_Hall '-P 4 2 3'
_cell_length_a 5.099
_cell_length_b 5.099
_cell_length_c 5.099
_cell_angle_alpha 90.00
_cell_angle_beta 90.00
_cell_angle_gamma 90.00
loop_
_atom_site_label
_atom_site_fract_x
_atom_site_fract_y
_atom_site_fract_z
Te1 0.000 0.000 0.500
Ru1 0.000 0.000 0.000
Pt1 0.500 0.500 0.500
```

two:
Density functional theory data (PBE) for Te3RuPt after structural relaxation.

## Properties
V = 28.20 Å³/atom
Spin magnetization = 0.00 μB per formula unit

Cell and atoms, written as CIF:
```
data_Te3RuPt
_chemical_formula_sum 'Te3 Ru1 Pt1'
_space_group_name_H-M_alt 'P m -3 m'
_space_group_IT_number 221
_space_group_name_Hall '-P 4 2 3'
_cell_length_a 5.205
_cell_length_b 5.205
_cell_length_c 5.205
_cell_angle_alpha 90.00
_cell_angle_beta 90.00
_cell_angle_gamma 90.00
loop_
_atom_site_label
_atom_site_fract_x
_atom_site_fract_y
_atom_site_fract_z
Te1 0.000 0.000 0.500
Ru1 0.500 0.500 0.500
Pt1 0.000 0.000 0.000
```

one takes first place; second place is 25.5 kJ/mol of atoms up.